[1]
Density functional theory data (PBE) for Y3Pt after structural relaxation.

a b c (Å): 3.447 5.950 5.950
angles (deg): 63.64 101.13 78.87
Atoms (fractional coordinates):
Y: 0.000 0.500 0.500
Y: 0.500 0.000 0.500
Pt: 0.000 0.000 0.000
Y: 0.500 0.500 0.000

Summary:
DFT total energy   -6.5646 eV/atom
Total magnetization   0.00 μB per formula unit
ΔH_f (0 K)   -0.2064 eV per atom


[2]
Density functional theory data (PBE) for Pr5Er2Th after structural relaxation.

a b c (Å): 5.154 7.286 14.570
angles (deg): 90.00 90.00 90.00
Atoms (fractional coordinates):
Pr: 0.000 0.508 0.248
Er: 0.500 0.739 0.878
Er: 0.500 0.261 0.122
Pr: 0.000 0.500 0.500
Th: 0.000 0.000 0.500
Pr: 0.500 0.252 0.877
Er: 0.500 0.239 0.622
Pr: 0.500 0.248 0.377
Pr: 0.500 0.752 0.623
Pr: 0.500 0.748 0.123
Er: 0.500 0.761 0.378
Th: 0.000 0.500 0.000
Pr: 0.000 0.000 0.000
Pr: 0.000 0.492 0.752
Pr: 0.000 0.008 0.252
Pr: 0.000 0.992 0.748

Summary:
DFT total energy   -5.0291 eV/atom
Total magnetization   0.00 μB per formula unit
ΔH_f (0 K)   0.0263 eV per atom


[3]
Density functional theory data (PBE) for TaReMo after structural relaxation.

a b c (Å): 7.091 6.900 2.780
angles (deg): 82.42 74.71 22.87
Atoms (fractional coordinates):
Re: 0.335 0.335 0.665
Ta: 0.668 0.668 0.332
Mo: 0.997 0.997 0.003

Summary:
DFT total energy   -11.7911 eV/atom
Total magnetization   0.00 μB per formula unit
Energy above the most stable polymorph in this dataset   0.1581 eV per atom
ΔH_f (0 K)   -0.0805 eV per atom


[4]
Density functional theory data (PBE) for Nd2EuAg after structural relaxation.

a b c (Å): 5.545 5.545 5.545
angles (deg): 60.00 60.00 60.00
Atoms (fractional coordinates):
Nd: 0.750 0.750 0.750
Ag: 0.500 0.500 0.500
Nd: 0.250 0.250 0.250
Eu: 0.000 0.000 0.000

Summary:
DFT total energy   -5.5836 eV/atom
Total magnetization   7.66 μB per formula unit
Energy above the most stable polymorph in this dataset   0.1512 eV per atom
ΔH_f (0 K)   0.0817 eV per atom


[5]
Density functional theory data (PBE) for NaPmSI after structural relaxation.

a b c (Å): 4.093 4.093 8.115
angles (deg): 89.99 104.61 120.00
Atoms (fractional coordinates):
I: 0.973 0.385 0.372
Na: 0.101 0.948 0.065
S: 0.304 0.550 0.869
Pm: 0.500 0.148 0.664

Summary:
DFT total energy   -4.3394 eV/atom
Total magnetization   0.93 μB per formula unit
Energy relative to the elements, uncorrected   -5.61 eV per formula unit


[6]
Density functional theory data (PBE) for KTlCd2 after structural relaxation.

a b c (Å): 3.835 3.835 8.402
angles (deg): 90.00 90.00 90.00
Atoms (fractional coordinates):
K: 0.000 0.000 0.491
Cd: 0.500 0.500 0.198
Cd: 0.000 0.000 0.014
Tl: 0.500 0.500 0.797

Summary:
DFT total energy   -1.3484 eV/atom
Total magnetization   0.00 μB per formula unit
Energy above the most stable polymorph in this dataset   0.0413 eV per atom
ΔH_f (0 K)   -0.0249 eV per atom


[7]
Density functional theory data (PBE) for BN after structural relaxation.

a b c (Å): 4.441 4.441 4.441
angles (deg): 90.00 90.00 90.00
Atoms (fractional coordinates):
N: 0.500 0.000 0.750
N: 0.750 0.500 0.000
B: 0.000 0.500 0.750
B: 0.750 0.000 0.500
N: 0.000 0.750 0.500
N: 0.500 0.000 0.250
B: 0.000 0.500 0.250
N: 0.000 0.250 0.500
B: 0.500 0.750 0.000
N: 0.250 0.500 0.000
B: 0.500 0.250 0.000
B: 0.250 0.000 0.500

Summary:
DFT total energy   -8.4527 eV/atom
Total magnetization   0.00 μB per formula unit
Energy above the most stable polymorph in this dataset   0.3351 eV per atom
Energy relative to the elements, uncorrected   -1.90 eV per formula unit


[8]
Density functional theory data (PBE) for Li6Sb2HAu after structural relaxation.

a b c (Å): 5.739 7.128 5.736
angles (deg): 51.56 76.88 90.02
Atoms (fractional coordinates):
Li: 0.670 0.821 0.060
H: 0.000 0.000 0.000
Sb: 0.277 0.723 0.554
Li: 0.119 0.670 0.151
Li: 0.881 0.330 0.849
Li: 0.178 0.120 0.550
Li: 0.822 0.880 0.450
Sb: 0.723 0.277 0.446
Au: 0.500 0.500 0.000
Li: 0.330 0.179 0.940

Summary:
DFT total energy   -3.1077 eV/atom
Total magnetization   0.00 μB per formula unit


[9]
Density functional theory data (PBE) for Tb12Zn5Sb3 after structural relaxation.

a b c (Å): 14.900 14.900 14.900
angles (deg): 109.47 109.47 109.47
Atoms (fractional coordinates):
Sb: 0.625 0.250 0.375
Tb: 0.919 0.832 0.547
Tb: 0.668 0.214 0.587
Zn: 0.250 0.875 0.125
Tb: 0.832 0.913 0.286
Tb: 0.786 0.453 0.372
Tb: 0.872 0.587 0.919
Tb: 0.453 0.668 0.081
Tb: 0.087 0.168 0.214
Zn: 0.625 0.875 0.250
Tb: 0.581 0.628 0.413
Tb: 0.419 0.372 0.587
Zn: 0.375 0.250 0.125
Tb: 0.332 0.786 0.413
Tb: 0.919 0.087 0.872
Sb: 0.250 0.125 0.375
Zn: 0.375 0.125 0.750
Zn: 0.500 0.500 0.000
Zn: 0.875 0.250 0.625
Tb: 0.081 0.168 0.453
Tb: 0.128 0.714 0.547
Tb: 0.047 0.628 0.714
Tb: 0.628 0.047 0.214
Zn: 0.500 0.000 0.000
Tb: 0.168 0.087 0.714
Zn: 0.625 0.750 0.875
Zn: 0.500 0.000 0.500
Tb: 0.128 0.413 0.081
Tb: 0.786 0.332 0.913
Zn: 0.125 0.375 0.250
Tb: 0.714 0.587 0.168
Tb: 0.587 0.872 0.419
Tb: 0.286 0.872 0.953
Zn: 0.875 0.625 0.750
Sb: 0.375 0.750 0.625
Tb: 0.668 0.453 0.581
Zn: 0.500 0.500 0.500
Zn: 0.000 0.000 0.000
Tb: 0.547 0.214 0.128
Tb: 0.047 0.419 0.832
Tb: 0.953 0.372 0.286
Tb: 0.547 0.332 0.919
Sb: 0.125 0.250 0.875
Tb: 0.832 0.919 0.047
Sb: 0.250 0.625 0.875
Tb: 0.913 0.832 0.786
Tb: 0.872 0.286 0.453
Tb: 0.372 0.419 0.087
Zn: 0.250 0.375 0.625
Zn: 0.125 0.750 0.375
Zn: 0.000 0.000 0.500
Tb: 0.581 0.953 0.668
Zn: 0.750 0.625 0.375
Tb: 0.953 0.581 0.168
Tb: 0.413 0.128 0.581
Sb: 0.375 0.625 0.250
Tb: 0.453 0.786 0.872
Tb: 0.714 0.128 0.047
Tb: 0.913 0.081 0.628
Tb: 0.168 0.081 0.953
Tb: 0.372 0.953 0.786
Tb: 0.628 0.581 0.913
Tb: 0.286 0.413 0.832
Sb: 0.625 0.375 0.750
Sb: 0.750 0.375 0.125
Tb: 0.087 0.919 0.372
Tb: 0.214 0.668 0.087
Sb: 0.875 0.125 0.250
Tb: 0.587 0.714 0.668
Tb: 0.419 0.047 0.332
Zn: 0.000 0.500 0.000
Tb: 0.413 0.286 0.332
Tb: 0.081 0.913 0.128
Tb: 0.332 0.547 0.419
Zn: 0.750 0.125 0.875
Zn: 0.000 0.500 0.500
Sb: 0.750 0.875 0.625
Sb: 0.875 0.750 0.125
Tb: 0.214 0.547 0.628
Sb: 0.125 0.875 0.750

Summary:
DFT total energy   -3.7718 eV/atom
Total magnetization   0.00 μB per formula unit
Energy relative to the elements, uncorrected   -1.14 eV per formula unit


[10]
Density functional theory data (PBE) for ScAlIn after structural relaxation.

a b c (Å): 4.737 4.737 4.737
angles (deg): 60.00 60.00 60.00
Atoms (fractional coordinates):
Sc: 0.750 0.750 0.750
Al: 0.000 0.000 0.000
In: 0.500 0.500 0.500

Summary:
DFT total energy   -4.1814 eV/atom
Total magnetization   0.00 μB per formula unit
ΔH_f (0 K)   0.0894 eV per atom


[11]
Density functional theory data (PBE) for K2Ag2Te after structural relaxation.

a b c (Å): 6.649 6.649 6.200
angles (deg): 57.57 57.57 90.00
Atoms (fractional coordinates):
K: 0.750 0.250 0.500
Te: 0.000 0.000 0.000
K: 0.250 0.750 0.500
Ag: 0.339 0.339 0.322
Ag: 0.661 0.661 0.678

Summary:
DFT total energy   -2.5294 eV/atom
Total magnetization   0.00 μB per formula unit
Energy above the most stable polymorph in this dataset   0.0000 eV per atom
Energy relative to the elements, uncorrected   -1.61 eV per formula unit


[12]
Density functional theory data (PBE) for LiHgAu2 after structural relaxation.

a b c (Å): 4.595 4.595 4.599
angles (deg): 104.50 111.99 112.00
Atoms (fractional coordinates):
Au: 0.000 0.000 0.001
Hg: 0.500 0.250 0.750
Au: 0.000 0.500 0.499
Li: 0.500 0.750 0.250

Summary:
DFT total energy   -2.4445 eV/atom
Total magnetization   0.00 μB per formula unit
ΔH_f (0 K)   -0.2519 eV per atom